# 1
The following is a PBE-GGA calculation of a geometry-optimized Y2ZnPd structure, from Alexandria.

Cell and atoms, written as extended XYZ:
```
4
Lattice="-0.355 2.068 2.880 0.646 -2.808 2.096 6.869 1.440 -0.188" Properties=species:S:1:pos:R:3 pbc="T T T"
Pd 0.146 -0.370 2.488
Zn 3.580 0.350 2.394
Y 5.176 1.085 -0.142
Y 1.693 0.355 -0.046
```

Output
SG: No. 123
formation energy: -0.63 eV/atom

# 2
The following is a PBE-GGA calculation of a geometry-optimized Y2ZnPd3 structure, from Alexandria.

Cell and atoms, written as extended XYZ:
```
12
Lattice="5.587 0.000 0.000 -2.793 4.838 0.000 0.000 0.000 8.409" Properties=species:S:1:pos:R:3 pbc="T T T"
Y 0.000 3.226 4.685
Y 0.000 3.226 7.929
Y 2.793 1.613 0.480
Y 2.793 1.613 3.724
Zn 0.000 0.000 0.000
Zn 0.000 0.000 4.204
Pd 1.407 0.812 6.307
Pd -1.386 4.026 2.102
Pd 0.000 1.625 2.102
Pd 1.386 4.026 2.102
Pd 4.180 0.812 6.307
Pd 2.793 3.213 6.307
```

Output
polymorph energy (0 for the lowest one): 0 meV per atom
SG: No. 194
formation energy: -0.78 eV/atom

# 3
The following is a PBE-GGA calculation of a geometry-optimized Y3Zn3Pd structure, from Alexandria.

Cell and atoms, written as extended XYZ:
```
7
Lattice="4.374 0.000 -0.954 -0.182 3.585 -0.833 -0.131 0.400 9.903" Properties=species:S:1:pos:R:3 pbc="T T T"
Zn 3.594 1.570 5.973
Zn 2.363 2.090 0.329
Zn 0.461 2.408 2.113
Y 4.038 3.959 8.009
Y 1.144 3.170 5.245
Y 2.943 0.844 2.989
Pd 1.703 1.900 7.806
```

Output
SG: No. 44
formation energy: -0.48 eV/atom

# 4
The following is a PBE-GGA calculation of a geometry-optimized Y2ZnPd9 structure, from Alexandria.

Cell and atoms, written as extended XYZ:
```
12
Lattice="-0.672 -1.967 3.530 4.019 -0.694 0.379 1.218 10.329 5.987" Properties=species:S:1:pos:R:3 pbc="T T T"
Pd 2.619 4.818 3.183
Pd 2.073 2.055 3.916
Pd 2.493 5.614 5.980
Pd 1.674 -1.330 1.954
Pd 0.697 7.773 6.840
Pd 2.195 1.227 1.101
Pd 3.043 8.409 5.265
Pd -0.150 0.590 2.677
Pd 0.273 4.181 4.759
Zn 0.000 0.000 0.000
Y 0.395 3.352 1.943
Y 0.823 6.977 4.044
```

Output
SG: No. 123
formation energy: -0.66 eV/atom

# 5
The following is a PBE-GGA calculation of a geometry-optimized Y8Zn2Pd structure, from Alexandria.

Cell and atoms, written as extended XYZ:
```
11
Lattice="5.718 -0.135 -1.088 -2.129 7.059 -3.205 -0.167 -0.352 8.030" Properties=species:S:1:pos:R:3 pbc="T T T"
Y 3.899 5.443 -2.027
Y 0.233 2.471 1.590
Y 2.720 2.321 -0.984
Y 0.465 4.270 4.788
Y 5.075 0.999 4.709
Y 3.041 4.149 2.206
Y 3.206 0.484 1.800
Y -0.024 6.118 1.987
Zn 2.048 1.879 4.128
Zn 1.274 4.801 -0.302
Pd 0.813 0.014 -0.133
```

Output
polymorph energy (0 for the lowest one): 108 meV per atom
SG: No. 8
formation energy: -0.15 eV/atom

# 6
The following is a PBE-GGA calculation of a geometry-optimized YZn4Pd structure, from Alexandria.

Cell and atoms, written as extended XYZ:
```
12
Lattice="4.081 0.000 0.000 0.000 6.683 0.000 -2.041 0.000 7.885" Properties=species:S:1:pos:R:3 pbc="T T T"
Zn 0.000 5.012 1.098
Zn 2.041 3.730 2.676
Zn 2.041 0.000 0.000
Zn 0.000 0.389 5.209
Zn 2.041 3.342 0.000
Zn 2.041 6.294 2.676
Zn 0.000 2.953 5.209
Zn 2.041 1.671 6.786
Pd 0.000 5.012 3.690
Pd 2.041 1.671 4.195
Y 0.000 1.671 1.905
Y 2.041 5.012 5.980
```

Output
SG: No. 63
formation energy: -0.38 eV/atom

# 7
The following is a PBE-GGA calculation of a geometry-optimized Y8Zn2Pd structure, from Alexandria.

Cell and atoms, written as extended XYZ:
```
11
Lattice="5.108 0.000 0.000 0.000 6.783 0.324 -2.554 -2.517 8.508" Properties=species:S:1:pos:R:3 pbc="T T T"
Y 2.554 5.764 3.056
Y 2.554 2.586 1.682
Y 2.554 3.089 5.276
Y 0.000 1.177 3.556
Y 2.554 -0.867 8.098
Y 0.000 -1.498 5.775
Y 0.000 1.680 7.150
Y 0.000 5.133 0.734
Zn 0.000 4.032 3.471
Zn 2.554 0.235 5.361
Pd 2.554 0.000 0.000
```

Output
polymorph energy (0 for the lowest one): 0 meV per atom
SG: No. 12
formation energy: -0.25 eV/atom

# 8
The following is a PBE-GGA calculation of a geometry-optimized Y2ZnPd6 structure, from Alexandria.

Cell and atoms, written as extended XYZ:
```
9
Lattice="3.466 0.000 -0.127 0.000 7.732 0.000 -1.470 -3.866 6.627" Properties=species:S:1:pos:R:3 pbc="T T T"
Pd 1.910 -2.289 4.321
Pd 0.086 1.577 2.179
Pd 1.910 2.289 4.321
Pd 1.733 5.888 -0.063
Pd 1.733 1.844 -0.063
Pd 0.086 6.155 2.179
Y 1.812 3.866 1.930
Y 0.184 0.000 4.571
Zn 0.000 0.000 0.000
```

Output
SG: No. 12
formation energy: -0.49 eV/atom

# 9
The following is a PBE-GGA calculation of a geometry-optimized YZn9Pd2 structure, from Alexandria.

Cell and atoms, written as extended XYZ:
```
24
Lattice="6.302 0.000 2.901 3.151 7.465 1.451 0.029 0.000 8.232" Properties=species:S:1:pos:R:3 pbc="T T T"
Zn 7.305 6.174 8.177
Zn 6.316 3.733 7.017
Zn 5.327 6.174 5.858
Zn 0.000 0.000 0.000
Zn 2.292 3.093 2.476
Zn 6.081 4.372 4.221
Zn 4.778 2.442 2.904
Zn 4.792 1.291 7.020
Zn 6.551 4.372 9.813
Zn 4.024 0.640 4.541
Zn 2.191 5.024 8.523
Zn 2.945 6.826 6.886
Zn 1.538 1.291 4.113
Zn 4.140 5.024 2.610
Zn 3.386 6.826 4.247
Zn 1.553 2.442 8.229
Zn 4.039 3.093 8.657
Zn 2.306 0.640 6.592
Pd 6.309 1.866 4.959
Pd 7.884 5.599 5.684
Pd 6.323 1.866 9.075
Pd 4.748 5.599 8.350
Y 3.151 0.000 1.451
Y 3.165 3.733 5.566
```

Output
polymorph energy (0 for the lowest one): 0 meV per atom
SG: No. 141
formation energy: -0.35 eV/atom

# 10
The following is a PBE-GGA calculation of a geometry-optimized YZn3Pd structure, from Alexandria.

Cell and atoms, written as extended XYZ:
```
10
Lattice="4.606 0.000 0.000 0.000 4.606 0.000 -2.303 -2.303 11.109" Properties=species:S:1:pos:R:3 pbc="T T T"
Zn 0.000 1.147 2.791
Zn 2.303 2.303 3.428
Zn 0.000 3.459 2.791
Zn 0.000 0.000 7.681
Zn 1.156 2.303 8.318
Zn -1.156 2.303 8.318
Pd 2.303 0.000 2.001
Pd 2.303 0.000 9.108
Y 0.000 0.000 0.000
Y 0.000 2.303 5.554
```

Output
polymorph energy (0 for the lowest one): 416 meV per atom
SG: No. 119
formation energy: -0.02 eV/atom

# 11
The following is a PBE-GGA calculation of a geometry-optimized YZn4Pd structure, from Alexandria.

Cell and atoms, written as extended XYZ:
```
6
Lattice="-0.250 4.934 -1.668 -4.624 2.362 -0.472 -1.333 3.806 3.306" Properties=species:S:1:pos:R:3 pbc="T T T"
Y -1.552 2.775 0.291
Zn -3.885 6.948 0.729
Zn -3.214 5.031 -0.935
Zn -3.759 4.463 1.570
Zn -1.556 5.759 0.967
Pd 0.000 0.000 0.000
```

Output
SG: No. 216
formation energy: -0.39 eV/atom

# 12
The following is a PBE-GGA calculation of a geometry-optimized YZn2Pd structure, from Alexandria.

Cell and atoms, written as extended XYZ:
```
8
Lattice="4.135 0.000 0.000 0.000 4.135 0.000 2.067 2.067 9.674" Properties=species:S:1:pos:R:3 pbc="T T T"
Pd 4.135 2.067 4.837
Pd 0.000 0.000 0.000
Y 2.067 4.135 4.837
Y 2.067 2.067 0.000
Zn 3.447 1.034 2.419
Zn 0.688 3.101 2.419
Zn 5.169 5.514 7.256
Zn 3.101 2.756 7.256
```

Output
SG: No. 122
formation energy: -0.27 eV/atom

# 13
The following is a PBE-GGA calculation of a geometry-optimized YZn4Pd7 structure, from Alexandria.

Cell and atoms, written as extended XYZ:
```
12
Lattice="-0.250 -1.242 -4.692 1.745 -7.674 -0.579 -5.465 -2.322 -1.611" Properties=species:S:1:pos:R:3 pbc="T T T"
Y 0.000 0.000 0.000
Pd -1.634 -9.100 -5.055
Pd -0.125 -0.621 -2.346
Pd -0.839 -4.677 -3.751
Pd -2.337 -2.138 -1.826
Pd -3.131 -6.561 -3.130
Pd -0.183 -5.537 -1.041
Pd -3.787 -5.701 -5.840
Zn -3.198 -3.927 -3.824
Zn 0.026 -3.111 -1.695
Zn -0.773 -7.311 -3.057
Zn -3.997 -8.127 -5.186
```

Output
SG: No. 12
formation energy: -0.35 eV/atom

# 14
The following is a PBE-GGA calculation of a geometry-optimized YZn2Pd structure, from Alexandria.

Cell and atoms, written as extended XYZ:
```
4
Lattice="-0.598 -0.134 3.292 2.761 -1.845 0.427 3.524 5.473 0.863" Properties=species:S:1:pos:R:3 pbc="T T T"
Zn 2.822 4.383 0.691
Zn 0.702 1.090 0.172
Pd 1.081 -0.990 1.859
Y 2.844 1.747 2.291
```

Output
SG: No. 123
formation energy: -0.43 eV/atom

# 15
The following is a PBE-GGA calculation of a geometry-optimized Y2Zn7Pd structure, from Alexandria.

Cell and atoms, written as extended XYZ:
```
10
Lattice="4.058 0.000 0.000 0.000 4.058 0.000 0.000 0.000 11.076" Properties=species:S:1:pos:R:3 pbc="T T T"
Zn 0.000 0.000 0.000
Zn 2.029 0.000 3.999
Zn 2.029 2.029 5.538
Zn 0.000 0.000 5.538
Zn 2.029 0.000 1.564
Zn 0.000 2.029 7.076
Zn 0.000 2.029 9.511
Y 0.000 2.029 2.784
Y 2.029 0.000 8.292
Pd 2.029 2.029 0.000
```

Output
SG: No. 115
formation energy: -0.38 eV/atom

# 16
The following is a PBE-GGA calculation of a geometry-optimized Y12ZnPd6 structure, from Alexandria.

Cell and atoms, written as extended XYZ:
```
19
Lattice="8.366 -0.244 -0.293 -1.510 8.232 -0.293 -1.510 -1.759 8.048" Properties=species:S:1:pos:R:3 pbc="T T T"
Y 6.620 -0.948 5.143
Y 3.832 0.561 3.085
Y 3.026 1.996 6.359
Y 5.373 3.886 3.101
Y -0.027 2.343 4.361
Y -1.940 3.917 7.215
Y 2.320 4.232 1.103
Y -1.273 7.177 2.319
Y 1.181 -1.107 7.476
Y 1.515 5.668 4.377
Y 4.166 7.336 -0.014
Y 7.287 2.312 0.247
Pd 0.835 4.001 6.614
Pd 1.518 -0.023 4.872
Pd -0.253 4.526 2.344
Pd 4.512 2.228 0.848
Pd 5.599 1.703 5.118
Pd 3.828 6.252 2.590
Zn 0.000 0.000 0.000
```

Output
SG: No. 148
formation energy: -0.43 eV/atom

# 17
The following is a PBE-GGA calculation of a geometry-optimized YZn6Pd6 structure, from Alexandria.

Cell and atoms, written as extended XYZ:
```
13
Lattice="-2.564 0.072 -4.529 3.699 -2.441 -5.124 -3.450 -5.720 -1.128" Properties=species:S:1:pos:R:3 pbc="T T T"
Y 0.000 0.000 0.000
Pd -0.992 -4.593 -2.502
Pd 1.241 -3.569 -3.750
Pd -1.606 -2.731 -5.116
Pd -1.548 -6.620 -8.201
Pd -0.709 -5.358 -5.665
Pd -0.767 -1.470 -2.580
Zn -3.007 -2.824 -2.829
Zn 0.568 -1.185 -4.826
Zn 1.850 -1.221 -2.562
Zn -3.014 -4.896 -4.353
Zn -1.725 -2.860 -0.564
Zn 0.699 -3.193 -6.428
```

Output
SG: No. 71
formation energy: -0.55 eV/atom

# 18
The following is a PBE-GGA calculation of a geometry-optimized YZn2Pd structure, from Alexandria.

Cell and atoms, written as extended XYZ:
```
4
Lattice="-3.240 5.470 -0.357 0.674 -5.845 -2.433 0.291 -5.564 3.082" Properties=species:S:1:pos:R:3 pbc="T T T"
Pd 0.482 -5.705 0.324
Zn 0.694 -8.205 0.466
Zn 0.271 -3.204 0.182
Y 0.000 0.000 0.000
```

Output
SG: No. 71
formation energy: -0.22 eV/atom

# 19
The following is a PBE-GGA calculation of a geometry-optimized YZn6Pd12 structure, from Alexandria.

Cell and atoms, written as extended XYZ:
```
19
Lattice="-2.592 -5.509 3.354 4.973 -3.072 -3.762 3.844 2.827 5.055" Properties=species:S:1:pos:R:3 pbc="T T T"
Zn 0.613 -2.743 1.411
Zn 1.892 -0.512 2.459
Zn 4.333 -5.241 2.187
Zn 3.503 -4.178 4.615
Zn 5.612 -3.011 3.236
Zn 2.722 -1.576 0.031
Pd 4.642 -3.495 0.337
Pd 1.583 -2.259 4.310
Pd 4.774 -1.086 1.487
Pd 3.357 -2.510 6.496
Pd 2.211 -4.575 0.599
Pd 2.565 -7.022 1.969
Pd 7.172 -2.571 1.308
Pd 4.013 -1.179 4.047
Pd 2.868 -3.243 -1.850
Pd 1.451 -4.668 3.160
Pd 3.660 1.268 2.677
Pd -0.948 -3.183 3.338
Y 0.000 0.000 0.000
```

Output
SG: No. 148
formation energy: -0.26 eV/atom

# 20
The following is a PBE-GGA calculation of a geometry-optimized Y4ZnPd3 structure, from Alexandria.

Cell and atoms, written as extended XYZ:
```
8
Lattice="3.763 0.000 0.000 0.000 4.546 0.000 0.000 0.000 10.722" Properties=species:S:1:pos:R:3 pbc="T T T"
Zn 1.881 2.273 0.827
Y 0.000 0.000 1.513
Y 1.881 2.273 3.923
Y 1.881 0.000 6.832
Y 0.000 2.273 9.162
Pd 1.881 0.000 9.905
Pd 0.000 2.273 6.275
Pd 0.000 0.000 4.452
```

Output
SG: No. 25
formation energy: -0.77 eV/atom

# 21
The following is a PBE-GGA calculation of a geometry-optimized Y3ZnPd4 structure, from Alexandria.

Cell and atoms, written as extended XYZ:
```
8
Lattice="-0.003 3.687 1.399 -5.484 1.125 -2.980 -0.875 -4.619 6.614" Properties=species:S:1:pos:R:3 pbc="T T T"
Pd -4.794 2.104 0.001
Pd -1.568 -1.910 5.032
Pd -3.898 -1.432 3.765
Pd -2.464 1.626 1.267
Y -4.961 1.050 2.778
Y -2.742 0.563 -1.490
Y -1.401 -0.857 2.255
Zn -0.002 1.843 0.699
```

Output
SG: No. 71
formation energy: -0.68 eV/atom